DFT (PBE with a Hubbard U) results for crystalline MoPd3F at its relaxed geometry.

The density of states at the Fermi level is 4.46 states/eV/cell. For the energy relative to the lowest polymorph listed for this composition, the calculation gives 0.0 meV per atom.

Lattice parameters (Å, degrees): 4.397 4.397 4.397 90.00 90.00 90.00
Space group Pm-3m (No. 221)
Inequivalent atoms, fractional coordinates:
1 Mo 0.000 0.000 0.000
2 Pd 0.000 0.500 0.500
3 F 0.500 0.500 0.500